(1)
The following is a PBE-GGA calculation of crystalline MoPt2 at its relaxed geometry, from Alexandria.

Cell lengths 3.373, 3.373, 8.325 Å; angles 90.00, 90.00, 90.00 degrees
Atoms (fractional coordinates):
Mo 0.000 0.000 0.000
Mo 0.500 0.500 0.500
Pt 0.000 0.000 0.334
Pt 0.000 0.000 0.666
Pt 0.500 0.500 0.166
Pt 0.500 0.500 0.834

SG	I4/mmm, No. 139
ΔE_f	-0.2345	eV per atom
offset from the most stable computed form	144.8	meV per atom

(2)
The following is a PBE-GGA calculation of crystalline CaLa2P at its relaxed geometry, from Alexandria.

Cell lengths 4.086, 4.086, 30.550 Å; angles 90.00, 90.00, 120.00 degrees
Atoms (fractional coordinates):
Ca 0.000 0.000 0.000
Ca 0.333 0.667 0.667
Ca 0.667 0.333 0.333
La 0.000 0.000 0.221
La 0.000 0.000 0.779
La 0.333 0.667 0.445
La 0.333 0.667 0.888
La 0.667 0.333 0.112
La 0.667 0.333 0.555
P 0.000 0.000 0.500
P 0.333 0.667 0.167
P 0.667 0.333 0.833

SG	R-3m, No. 166
ΔE_f	-0.7237	eV per atom

(3)
The following is a PBE-GGA calculation of crystalline TmPRuO at its relaxed geometry, from Alexandria.

Cell lengths 3.967, 3.967, 7.793 Å; angles 90.00, 90.00, 90.00 degrees
Atoms (fractional coordinates):
Tm 0.250 0.250 0.131
Tm 0.750 0.750 0.869
P 0.250 0.250 0.656
P 0.750 0.750 0.344
Ru 0.250 0.750 0.500
Ru 0.750 0.250 0.500
O 0.250 0.750 0.000
O 0.750 0.250 0.000

SG	P4/nmm, No. 129
E_form (uncorrected)	-8.23	eV per formula unit

(4)
The following is a PBE-GGA calculation of crystalline GaH2RuSe at its relaxed geometry, from Alexandria.

Cell lengths 3.513, 3.513, 5.598 Å; angles 90.00, 90.00, 90.00 degrees
Atoms (fractional coordinates):
Ga 0.000 0.000 0.000
H 0.000 0.500 0.000
H 0.500 0.000 0.000
Ru 0.000 0.000 0.500
Se 0.500 0.500 0.500

SG	P4/mmm, No. 123

(5)
The following is a PBE-GGA calculation of crystalline AlInIr2 at its relaxed geometry, from Alexandria.

Cell lengths 8.601, 2.953, 5.198 Å; angles 90.00, 102.41, 90.00 degrees
Atoms (fractional coordinates):
Al 0.000 0.000 0.000
Al 0.500 0.500 0.000
In 0.000 0.500 0.500
In 0.500 0.000 0.500
Ir 0.238 0.500 0.223
Ir 0.262 0.000 0.777
Ir 0.738 0.000 0.223
Ir 0.762 0.500 0.777

SG	C2/m, No. 12
ΔE_f	-0.2078	eV per atom

(6)
The following is a PBE-GGA calculation of crystalline CdN2O at its relaxed geometry, from Alexandria.

Cell lengths 5.553, 5.553, 5.553 Å; angles 90.00, 90.00, 90.00 degrees
Atoms (fractional coordinates):
Cd 0.000 0.000 0.000
Cd 0.000 0.500 0.500
Cd 0.500 0.000 0.500
Cd 0.500 0.500 0.000
N 0.250 0.250 0.250
N 0.250 0.250 0.750
N 0.250 0.750 0.250
N 0.250 0.750 0.750
N 0.750 0.250 0.250
N 0.750 0.250 0.750
N 0.750 0.750 0.250
N 0.750 0.750 0.750
O 0.000 0.000 0.500
O 0.000 0.500 0.000
O 0.500 0.000 0.000
O 0.500 0.500 0.500

SG	Fm-3m, No. 225
E_form (uncorrected)	9.27	eV per formula unit
offset from the most stable computed form	1203.9	meV per atom

(7)
The following is a PBE-GGA calculation of crystalline Sn2HgF at its relaxed geometry, from Alexandria.

Cell lengths 6.998, 6.998, 6.998 Å; angles 90.00, 90.00, 90.00 degrees
Atoms (fractional coordinates):
Sn 0.250 0.250 0.250
Sn 0.250 0.250 0.750
Sn 0.250 0.750 0.250
Sn 0.250 0.750 0.750
Sn 0.750 0.250 0.250
Sn 0.750 0.250 0.750
Sn 0.750 0.750 0.250
Sn 0.750 0.750 0.750
Hg 0.000 0.000 0.000
Hg 0.000 0.500 0.500
Hg 0.500 0.000 0.500
Hg 0.500 0.500 0.000
F 0.000 0.000 0.500
F 0.000 0.500 0.000
F 0.500 0.000 0.000
F 0.500 0.500 0.500

SG	Fm-3m, No. 225
E_form (uncorrected)	-2.21	eV per formula unit
offset from the most stable computed form	21.0	meV per atom

(8)
The following is a PBE-GGA calculation of crystalline DyHoSnIr at its relaxed geometry, from Alexandria.

Cell lengths 7.178, 7.178, 7.178 Å; angles 90.00, 90.00, 90.00 degrees
Atoms (fractional coordinates):
Dy 0.000 0.000 0.000
Dy 0.000 0.500 0.500
Dy 0.500 0.000 0.500
Dy 0.500 0.500 0.000
Ho 0.000 0.000 0.500
Ho 0.000 0.500 0.000
Ho 0.500 0.000 0.000
Ho 0.500 0.500 0.500
Sn 0.250 0.250 0.750
Sn 0.250 0.750 0.250
Sn 0.750 0.250 0.250
Sn 0.750 0.750 0.750
Ir 0.250 0.250 0.250
Ir 0.250 0.750 0.750
Ir 0.750 0.250 0.750
Ir 0.750 0.750 0.250

SG	F-43m, No. 216
ΔE_f	-0.6120	eV per atom

(9)
The following is a PBE-GGA calculation of crystalline Na2TlTeO at its relaxed geometry, from Alexandria.

Cell lengths 4.772, 4.772, 4.847 Å; angles 90.00, 90.00, 90.00 degrees
Atoms (fractional coordinates):
Na 0.000 0.500 0.000
Na 0.500 0.000 0.000
Tl 0.000 0.000 0.500
Te 0.500 0.500 0.500
O 0.000 0.000 0.000

SG	P4/mmm, No. 123
E_form (uncorrected)	-4.36	eV per formula unit

(10)
The following is a PBE-GGA calculation of crystalline Er7Al2Pb2 at its relaxed geometry, from Alexandria.

Cell lengths 6.684, 6.684, 7.954 Å; angles 90.00, 90.00, 112.44 degrees
Atoms (fractional coordinates):
Er 0.000 0.000 0.000
Er 0.000 0.500 0.283
Er 0.000 0.500 0.717
Er 0.500 0.000 0.283
Er 0.500 0.000 0.717
Er 0.500 0.500 0.215
Er 0.500 0.500 0.785
Al 0.277 0.723 0.000
Al 0.723 0.277 0.000
Pb 0.206 0.206 0.500
Pb 0.794 0.794 0.500

SG	Cmmm, No. 65
ΔE_f	-0.0455	eV per atom

(11)
The following is a PBE-GGA calculation of crystalline FePt2 at its relaxed geometry, from Alexandria.

Cell lengths 2.735, 14.213, 4.560 Å; angles 90.00, 90.00, 90.00 degrees
Atoms (fractional coordinates):
Fe 0.000 0.218 0.250
Fe 0.000 0.782 0.750
Fe 0.500 0.282 0.750
Fe 0.500 0.718 0.250
Pt 0.000 0.124 0.750
Pt 0.000 0.443 0.750
Pt 0.000 0.557 0.250
Pt 0.000 0.876 0.250
Pt 0.500 0.057 0.250
Pt 0.500 0.376 0.250
Pt 0.500 0.624 0.750
Pt 0.500 0.943 0.750

SG	Cmcm, No. 63
ΔE_f	-0.1095	eV per atom

(12)
The following is a PBE-GGA calculation of crystalline LaCdIr at its relaxed geometry, from Alexandria.

Cell lengths 6.974, 6.974, 6.974 Å; angles 90.00, 90.00, 90.00 degrees
Atoms (fractional coordinates):
La 0.000 0.000 0.000
La 0.000 0.500 0.500
La 0.500 0.000 0.500
La 0.500 0.500 0.000
Cd 0.250 0.250 0.250
Cd 0.250 0.750 0.750
Cd 0.750 0.250 0.750
Cd 0.750 0.750 0.250
Ir 0.250 0.250 0.750
Ir 0.250 0.750 0.250
Ir 0.750 0.250 0.250
Ir 0.750 0.750 0.750

SG	F-43m, No. 216
ΔE_f	0.2368	eV per atom

no.,electronic total energy (eV/f.u.)
1,-23.6
2,-20.2
3,-32.3
4,-20.8
5,-25.0
6,-13.3
7,-12.4
8,-24.5
9,-17.5
10,-47.3
11,-20.9
12,-14.0